(1)
BaLiTl2Rh | GGA-PBEsol | relaxed

The total energy comes out at -3.710 eV/atom. The formation energy is -0.21 eV/atom.

The structure belongs to space group P4/mmm (No. 123); the cell edges are 5.225, 5.225 and 4.944 Å and the angles 90.00°, 90.00° and 90.00°. The asymmetric unit holds Ba at (0.000, 0.000, 0.000), Li at (0.500, 0.500, 0.000), Tl at (0.000, 0.500, 0.500) and Rh at (0.500, 0.500, 0.500).


(2)
MgCdCoOs2 | GGA-PBEsol | relaxed

The total energy comes out at -4.947 eV/atom. The formation energy is 2.07 eV/atom.

The structure belongs to space group P4/mmm (No. 123); the cell edges are 4.535, 4.535 and 4.217 Å and the angles 90.00°, 90.00° and 90.00°. The asymmetric unit holds Mg at (0.000, 0.000, 0.000), Cd at (0.500, 0.500, 0.500), Co at (0.000, 0.000, 0.500) and Os at (0.000, 0.500, 0.000).